A relaxed TlIn2Te3 crystal, computed with PBE.

Cell lengths 12.973, 12.973, 7.591 Å; angles 106.27, 106.27, 23.13 degrees
Element x y z (fractional)
Tl: 0.143 0.143 0.376
Tl: 0.857 0.857 0.624
In: 0.199 0.199 0.884
In: 0.444 0.444 0.272
In: 0.556 0.556 0.728
In: 0.801 0.801 0.116
Te: 0.089 0.089 0.916
Te: 0.277 0.277 0.256
Te: 0.438 0.438 0.642
Te: 0.562 0.562 0.358
Te: 0.723 0.723 0.744
Te: 0.911 0.911 0.084

Results
As for the space-group type: C2/m, No. 12. For the formation energy without anion corrections, the calculation gives -0.2721 eV/atom. The value obtained for the density of states at the Fermi level is 0.25 states/eV/atom.